# 1
VASP calculation (GGA-PBE) on MgCoSn2N4 after structural relaxation.

Volume (A^3/atom): 13.74
Electronic total energy (eV per atom): -6.1981

Cell lengths 4.789, 4.789, 9.586 Å; angles 90.00, 90.00, 90.00 degrees
Space group I-4 (No. 82)
Asymmetric unit:
Mg  0.000  0.000  0.000
Co  0.000  0.500  0.250
Sn  0.000  0.000  0.500
Sn  0.000  0.500  0.750
N  0.242  0.256  0.128


# 2
VASP calculation (GGA-PBE) on MgZnCo2N4 after structural relaxation.

Volume (A^3/atom): 10.84
Electronic total energy (eV per atom): -6.1997

Cell lengths 4.500, 4.500, 8.564 Å; angles 90.00, 90.00, 90.00 degrees
Space group I-4 (No. 82)
Asymmetric unit:
Mg  0.000  0.000  0.000
Zn  0.000  0.500  0.250
Co  0.000  0.000  0.500
Co  0.000  0.500  0.750
N  0.204  0.246  0.627


# 3
VASP calculation (GGA-PBE) on Na2Mg2Co after structural relaxation.

Volume (A^3/atom): 23.53
Electronic total energy (eV per atom): -1.9239

Cell lengths 5.228, 5.228, 8.608 Å; angles 90.00, 90.00, 90.00 degrees
Space group I4/mmm (No. 139)
Asymmetric unit:
Na  0.000  0.500  0.000
Mg  0.000  0.000  0.213
Co  0.000  0.000  0.500


# 4
VASP calculation (GGA-PBE) on NaMgCoTe after structural relaxation.

Volume (A^3/atom): 18.46
Electronic total energy (eV per atom): -2.9963

Cell lengths 6.660, 6.660, 6.660 Å; angles 90.00, 90.00, 90.00 degrees
Space group F-43m (No. 216)
Asymmetric unit:
Na  0.000  0.000  0.000
Mg  0.250  0.250  0.750
Co  0.250  0.250  0.250
Te  0.000  0.000  0.500


# 5
VASP calculation (GGA-PBE) on NaMgCoTe after structural relaxation.

Volume (A^3/atom): 18.31
Electronic total energy (eV per atom): -3.1566

Cell lengths 6.641, 6.641, 6.641 Å; angles 90.00, 90.00, 90.00 degrees
Space group F-43m (No. 216)
Asymmetric unit:
Na  0.000  0.000  0.000
Mg  0.250  0.250  0.750
Co  0.000  0.000  0.500
Te  0.250  0.250  0.250


# 6
VASP calculation (GGA-PBE) on NaMgCoTe after structural relaxation.

Volume (A^3/atom): 21.58
Electronic total energy (eV per atom): -3.0434

Cell lengths 7.015, 7.015, 7.015 Å; angles 90.00, 90.00, 90.00 degrees
Space group F-43m (No. 216)
Asymmetric unit:
Na  0.000  0.000  0.000
Mg  0.000  0.000  0.500
Co  0.250  0.250  0.750
Te  0.250  0.250  0.250


# 7
VASP calculation (GGA-PBE) on NaMgCoW after structural relaxation.

Volume (A^3/atom): 14.96
Electronic total energy (eV per atom): -4.9554

Cell lengths 6.208, 6.208, 6.208 Å; angles 90.00, 90.00, 90.00 degrees
Space group F-43m (No. 216)
Asymmetric unit:
Na  0.000  0.000  0.000
Mg  0.250  0.250  0.250
Co  0.000  0.000  0.500
W  0.250  0.250  0.750


# 8
VASP calculation (GGA-PBE) on NaMgCoW after structural relaxation.

Volume (A^3/atom): 15.56
Electronic total energy (eV per atom): -4.8633

Cell lengths 6.290, 6.290, 6.290 Å; angles 90.00, 90.00, 90.00 degrees
Space group F-43m (No. 216)
Asymmetric unit:
Na  0.000  0.000  0.000
Mg  0.250  0.250  0.250
Co  0.250  0.250  0.750
W  0.000  0.000  0.500


# 9
VASP calculation (GGA-PBE) on Mg2NbCo after structural relaxation.

Volume (A^3/atom): 15.65
Electronic total energy (eV per atom): -4.9401

Cell lengths 6.303, 6.303, 6.303 Å; angles 90.00, 90.00, 90.00 degrees
Space group F-43m (No. 216)
Asymmetric unit:
Mg  0.000  0.000  0.000
Mg  0.250  0.250  0.250
Nb  0.000  0.000  0.500
Co  0.250  0.250  0.750


# 10
VASP calculation (GGA-PBE) on MgNbCoSi after structural relaxation.

Volume (A^3/atom): 14.34
Electronic total energy (eV per atom): -5.8720

Cell lengths 6.122, 6.122, 6.122 Å; angles 90.00, 90.00, 90.00 degrees
Space group F-43m (No. 216)
Asymmetric unit:
Mg  0.000  0.000  0.000
Nb  0.250  0.250  0.750
Co  0.000  0.000  0.500
Si  0.250  0.250  0.250


# 11
VASP calculation (GGA-PBE) on MgNbCoSi after structural relaxation.

Volume (A^3/atom): 14.42
Electronic total energy (eV per atom): -5.9584

Cell lengths 6.134, 6.134, 6.134 Å; angles 90.00, 90.00, 90.00 degrees
Space group F-43m (No. 216)
Asymmetric unit:
Mg  0.000  0.000  0.000
Nb  0.250  0.250  0.250
Co  0.250  0.250  0.750
Si  0.000  0.000  0.500


# 12
VASP calculation (GGA-PBE) on MgNbCoSn after structural relaxation.

Volume (A^3/atom): 17.03
Electronic total energy (eV per atom): -5.4479

Cell lengths 6.483, 6.483, 6.483 Å; angles 90.00, 90.00, 90.00 degrees
Space group F-43m (No. 216)
Asymmetric unit:
Mg  0.000  0.000  0.000
Nb  0.250  0.250  0.250
Co  0.250  0.250  0.750
Sn  0.000  0.000  0.500